Record 1
## Pu2Ni3As4Ru (PBE)

Data for Pu2Ni3As4Ru after structural relaxation.

Cell: 4.1771 4.1771 9.5678 Å, 90.00 90.00 90.00°
With the nearest neighbours (Å) after each atom.
Positions (direct):
Pu  0.0000  0.5000  0.2417  8 As 3.12-3.16, 7 Ni 3.19-3.43, 2 Ru 3.24
Pu  0.5000  0.0000  0.7583  8 As 3.12-3.16, 7 Ni 3.19-3.43, 2 Ru 3.24
Ni  0.0000  0.5000  0.8836  5 As 2.32-2.37
Ni  0.5000  0.0000  0.1164  5 As 2.32-2.37
Ni  0.5000  0.5000  0.5000  4 As 2.49
As  0.0000  0.0000  0.0000  4 Ni 2.37
As  0.0000  0.5000  0.6410  3 Ni 2.32-2.49, 2 Ru 2.49
As  0.5000  0.0000  0.3590  3 Ni 2.32-2.49, 2 Ru 2.49
As  0.5000  0.5000  0.0000  4 Ni 2.37
Ru  0.0000  0.0000  0.5000  4 As 2.49

Values from the calculation:
- Formation energy: -601.0 meV per atom



Record 2
## Pu2Ni4SbAs3 (PBE)

Data for Pu2Ni4SbAs3 after structural relaxation.

Cell: 4.2348 4.2348 9.6047 Å, 90.00 90.00 90.00°
With the nearest neighbours (Å) after each atom.
Positions (direct):
Pu  0.0000  0.5000  0.2370  8 Ni 3.11-3.25, 6 As 3.18-3.30, 2 Sb 3.30
Pu  0.5000  0.0000  0.7630  8 Ni 3.11-3.25, 6 As 3.18-3.30, 2 Sb 3.30
Ni  0.0000  0.0000  0.0000  4 As 2.44
Ni  0.0000  0.5000  0.6326  3 As 2.31-2.47, 2 Sb 2.47
Ni  0.5000  0.0000  0.3674  3 As 2.31-2.47, 2 Sb 2.47
Ni  0.5000  0.5000  0.0000  4 As 2.44
Sb  0.0000  0.0000  0.5000  4 Ni 2.47
As  0.0000  0.5000  0.8734  5 Ni 2.31-2.44
As  0.5000  0.0000  0.1266  5 Ni 2.31-2.44
As  0.5000  0.5000  0.5000  4 Ni 2.47

Values from the calculation:
- Formation energy from raw total energies: -0.5476 eV per atom



Record 3
## PuThNi2As2 (PBE)

Data for PuThNi2As2 after structural relaxation.

Cell: 4.0870 4.0870 8.0335 Å, 90.00 90.00 120.00°
With the nearest neighbours (Å) after each atom.
Positions (direct):
Pu  0.0000  0.0000  0.0000  6 As 3.02, 6 Ni 3.19
Th  0.0000  0.0000  0.5000  6 Ni 3.01, 6 As 3.18
Ni  0.3333  0.6667  0.7332  3 As 2.37
Ni  0.6667  0.3333  0.2668  3 As 2.37
As  0.3333  0.6667  0.2353  3 Ni 2.37
As  0.6667  0.3333  0.7647  3 Ni 2.37

Values from the calculation:
- Formation energy: -904.1 meV per atom



Record 4
## Pu2ZnNi3As4 (PBE)

Data for Pu2ZnNi3As4 after structural relaxation.

Cell: 4.2235 4.2235 9.5757 Å, 90.00 90.00 90.00°
With the nearest neighbours (Å) after each atom.
Positions (direct):
Pu  0.0000  0.5000  0.2388  8 As 3.11-3.19, 7 Ni 3.22-3.37, 2 Zn 3.27
Pu  0.5000  0.0000  0.7612  8 As 3.11-3.19, 7 Ni 3.22-3.37, 2 Zn 3.27
Zn  0.0000  0.0000  0.5000  4 As 2.52
Ni  0.0000  0.5000  0.8872  5 As 2.33-2.37
Ni  0.5000  0.0000  0.1128  5 As 2.33-2.37
Ni  0.5000  0.5000  0.5000  4 As 2.52
As  0.0000  0.0000  0.0000  4 Ni 2.37
As  0.0000  0.5000  0.6442  3 Ni 2.33-2.52, 2 Zn 2.52
As  0.5000  0.0000  0.3558  3 Ni 2.33-2.52, 2 Zn 2.52
As  0.5000  0.5000  0.0000  4 Ni 2.37

Values from the calculation:
- Formation energy: -571.2 meV per atom



Record 5
## RbNiAs3 (PBE)

Data for RbNiAs3 after structural relaxation.

Cell: 4.8703 4.8703 4.8703 Å, 90.00 90.00 90.00°
With the nearest neighbours (Å) after each atom.
Positions (direct):
Rb  0.0000  0.0000  0.0000  12 As 3.44
Ni  0.5000  0.5000  0.5000  6 As 2.44
As  0.0000  0.5000  0.5000  2 Ni 2.44
As  0.5000  0.0000  0.5000  2 Ni 2.44
As  0.5000  0.5000  0.0000  2 Ni 2.44

Values from the calculation:
- ΔE to the lowest computed polymorph: 0.000 eV per atom
- Formation energy: 210.2 meV per atom



Record 6
## Rb2NiAs2 (PBE)

Data for Rb2NiAs2 after structural relaxation.

Cell: 6.4562 6.4562 5.8703 Å, 90.00 90.00 90.00°
With the nearest neighbours (Å) after each atom.
Positions (direct):
Rb  0.1751  0.3249  0.0000  5 Rb 3.20-3.37, 2 As 3.37
Rb  0.3249  0.8249  0.0000  5 Rb 3.20-3.37, 2 As 3.37
Rb  0.6751  0.1751  0.0000  5 Rb 3.20-3.37, 2 As 3.37
Rb  0.8249  0.6751  0.0000  5 Rb 3.20-3.37, 2 As 3.37
Ni  0.0000  0.0000  0.5000  4 As 2.48
Ni  0.5000  0.5000  0.5000  4 As 2.48
As  0.1433  0.6433  0.5000  2 Ni 2.48, 1 As 2.62
As  0.3567  0.1433  0.5000  2 Ni 2.48, 1 As 2.62
As  0.6433  0.8567  0.5000  2 Ni 2.48, 1 As 2.62
As  0.8567  0.3567  0.5000  2 Ni 2.48, 1 As 2.62

Values from the calculation:
- Formation energy: -115.8 meV per atom



Record 7
## RbNi2As2 (PBE)

Data for RbNi2As2 after structural relaxation.

Cell: 8.1310 8.1310 2.9932 Å, 90.00 90.00 90.00°
With the nearest neighbours (Å) after each atom.
Positions (direct):
Rb  0.0000  0.0000  0.0000  2 Rb 2.99, 4 Ni 3.31
Rb  0.5000  0.5000  0.0000  2 Rb 2.99, 4 Ni 3.31
Ni  0.1079  0.3921  0.0000  4 As 2.46, 1 Ni 2.48
Ni  0.3921  0.8921  0.0000  4 As 2.46, 1 Ni 2.48
Ni  0.6079  0.1079  0.0000  4 As 2.46, 1 Ni 2.48
Ni  0.8921  0.6079  0.0000  4 As 2.46, 1 Ni 2.48
As  0.1312  0.6312  0.5000  4 Ni 2.46
As  0.3688  0.1312  0.5000  4 Ni 2.46
As  0.6312  0.8688  0.5000  4 Ni 2.46
As  0.8688  0.3688  0.5000  4 Ni 2.46

Values from the calculation:
- Formation energy: 22.8 meV per atom



Record 8
## RbNiAs2 (PBE)

Data for RbNiAs2 after structural relaxation.

Cell: 8.5256 8.5256 8.5256 Å, 143.43 143.43 52.68°
With the nearest neighbours (Å) after each atom.
Positions (direct):
Rb  0.3750  0.6250  0.7500  8 As 3.55, 4 Ni 3.78
Rb  0.6250  0.3750  0.2500  8 As 3.55, 4 Ni 3.78
Ni  0.1250  0.8750  0.2500  4 As 2.33
Ni  0.8750  0.1250  0.7500  4 As 2.33
As  0.0000  0.0000  0.0000  2 Ni 2.33
As  0.0000  0.0000  0.5000  2 Ni 2.33
As  0.0000  0.5000  0.0000  2 Ni 2.33
As  0.5000  0.0000  0.5000  2 Ni 2.33

Values from the calculation:
- ΔE to the lowest computed polymorph: 0.142 eV per atom
- Formation energy: -130.0 meV per atom



Record 9
## Rb3NiAs (PBE)

Data for Rb3NiAs after structural relaxation.

Cell: 6.6441 6.6441 6.6441 Å, 90.00 90.00 90.00°
With the nearest neighbours (Å) after each atom.
Positions (direct):
Rb  0.0000  0.0000  0.5000  2 As 3.32
Rb  0.0000  0.5000  0.0000  2 As 3.32
Rb  0.5000  0.0000  0.0000  2 As 3.32
Ni  0.5000  0.5000  0.5000  12 Rb 4.70
As  0.0000  0.0000  0.0000  6 Rb 3.32

Values from the calculation:
- ΔE to the lowest computed polymorph: 0.000 eV per atom
- Formation energy: 510.9 meV per atom



Record 10
## Rb2NiAs (PBE)

Data for Rb2NiAs after structural relaxation.

Cell: 9.4184 9.4184 9.4184 Å, 93.11 93.11 153.04°
With the nearest neighbours (Å) after each atom.
Positions (direct):
Rb  0.3750  0.1449  0.2699  2 Ni 3.29, 2 As 3.64
Rb  0.8551  0.1250  0.2301  2 Ni 3.29, 2 As 3.64
Rb  0.8750  0.1051  0.7301  2 Ni 3.29, 2 As 3.64
Rb  0.8949  0.6250  0.7699  2 Ni 3.29, 2 As 3.64
Ni  0.0000  0.0000  0.0000  2 As 2.20
Ni  0.7500  0.2500  0.5000  2 As 2.20
As  0.2500  0.7500  0.5000  2 Ni 2.20
As  0.5000  0.5000  0.0000  2 Ni 2.20

Values from the calculation:
- Formation energy: -148.2 meV per atom



Record 11
## RbNiAs2 (PBE)

Data for RbNiAs2 after structural relaxation.

Cell: 7.5733 7.5733 7.5733 Å, 29.59 29.59 29.59°
With the nearest neighbours (Å) after each atom.
Positions (direct):
Rb  0.0000  0.0000  0.0000  6 As 3.41-3.55, 1 Ni 3.74
Ni  0.1721  0.1721  0.1721  6 As 2.41-2.44
As  0.5477  0.5477  0.5477  3 Ni 2.41
As  0.7935  0.7935  0.7935  3 Ni 2.44

Values from the calculation:
- ΔE to the lowest computed polymorph: 0.000 eV per atom
- Formation energy: -272.5 meV per atom



Record 12
## RbNiAs3 (PBE)

Data for RbNiAs3 after structural relaxation.

Cell: 5.5179 5.5179 5.5179 Å, 90.00 90.00 90.00°
With the nearest neighbours (Å) after each atom.
Positions (direct):
Rb  0.0000  0.0000  0.0000  6 As 2.76
Ni  0.5000  0.5000  0.5000  12 As 3.90
As  0.0000  0.0000  0.5000  2 Rb 2.76
As  0.0000  0.5000  0.0000  2 Rb 2.76
As  0.5000  0.0000  0.0000  2 Rb 2.76

Values from the calculation:
- ΔE to the lowest computed polymorph: 2.026 eV per atom
- Formation energy: 2236.3 meV per atom